--- one ---
Computed, not measured: a relaxed CaMn3Te crystal at the PBE level of DFT.

space-group type	Pm-3m (221)
density of states at the Fermi level	3.18	states/eV/cell

Cell and atoms, written as POSCAR:
```
CaMn3Te
1.0
4.989 0.000 0.000
0.000 4.989 0.000
0.000 0.000 4.989
Ca Mn Te
1 3 1
Cartesian
0.000 0.000 0.000
0.000 0.000 2.494
0.000 2.494 0.000
2.494 0.000 0.000
2.494 2.494 2.494
```

=====

--- two ---
Computed, not measured: a relaxed CaMn3Te crystal at the PBE level of DFT.

space-group type	Pm-3m (221)
density of states at the Fermi level	3.45	states/eV/cell

Cell and atoms, written as POSCAR:
```
CaMn3Te
1.0
4.942 0.000 0.000
0.000 4.942 0.000
0.000 0.000 4.942
Ca Mn Te
1 3 1
Cartesian
0.000 0.000 0.000
0.000 2.471 2.471
2.471 0.000 2.471
2.471 2.471 0.000
2.471 2.471 2.471
```

=====

Which of them is least stable? Easy: one.

=====

--- one ---
Computed, not measured: a relaxed CaTi2Mn2 crystal at the PBE level of DFT.

space-group type	P4/mbm (127)
density of states at the Fermi level	7.33	states/eV/cell

Cell and atoms, written as POSCAR:
```
CaTi2Mn2
1.0
7.633 0.000 0.000
0.000 7.633 0.000
0.000 0.000 3.036
Ca Ti Mn
2 4 4
Cartesian
0.000 0.000 0.000
3.816 3.816 0.000
1.062 2.755 1.518
2.755 6.571 1.518
4.878 1.062 1.518
6.571 4.878 1.518
1.032 4.848 0.000
2.785 1.032 0.000
4.848 6.601 0.000
6.601 2.785 0.000
```

=====

--- two ---
Computed, not measured: a relaxed CaTi2Mn2 crystal at the PBE level of DFT.

space-group type	P4/mmm (123)
density of states at the Fermi level	7.26	states/eV/cell

Cell and atoms, written as POSCAR:
```
CaTi2Mn2
1.0
4.520 0.000 0.000
0.000 4.520 0.000
0.000 0.000 4.800
Ca Ti Mn
1 2 2
Cartesian
0.000 0.000 0.000
0.000 2.260 2.400
2.260 0.000 2.400
2.260 2.260 0.000
2.260 2.260 2.400
```

=====

Which of them is least stable? Easy: two.

=====

--- one ---
Computed, not measured: a relaxed CaTi3Mn crystal at the PBE level of DFT.

space-group type	Pm-3m (221)
density of states at the Fermi level	7.23	states/eV/cell

Cell and atoms, written as POSCAR:
```
CaTi3Mn
1.0
4.663 0.000 0.000
0.000 4.663 0.000
0.000 0.000 4.663
Ca Ti Mn
1 3 1
Cartesian
0.000 0.000 0.000
0.000 2.332 2.332
2.332 0.000 2.332
2.332 2.332 0.000
2.332 2.332 2.332
```

=====

--- two ---
Computed, not measured: a relaxed CaTi3Mn crystal at the PBE level of DFT.

space-group type	Pm-3m (221)
density of states at the Fermi level	13.66	states/eV/cell

Cell and atoms, written as POSCAR:
```
CaTi3Mn
1.0
4.469 0.000 0.000
0.000 4.469 0.000
0.000 0.000 4.469
Ca Ti Mn
1 3 1
Cartesian
0.000 0.000 0.000
0.000 0.000 2.235
0.000 2.235 0.000
2.235 0.000 0.000
2.235 2.235 2.235
```

=====

Which of them is least stable? Easy: two.

=====

--- one ---
Computed, not measured: a relaxed Ca2TiMn crystal at the PBE level of DFT.

space-group type	I-42d (122)
density of states at the Fermi level	10.91	states/eV/cell

Cell and atoms, written as POSCAR:
```
Ca2TiMn
1.0
-5.494 5.494 2.157
5.494 -5.494 2.157
5.494 5.494 -2.157
Ca Ti Mn
4 2 2
Cartesian
0.968 2.747 0.539
-2.747 4.526 1.618
-0.968 8.241 0.539
2.747 6.462 1.618
5.494 0.000 1.078
0.000 0.000 2.157
0.000 0.000 0.000
0.000 5.494 1.078
```

=====

--- two ---
Computed, not measured: a relaxed Ca2TiMn crystal at the PBE level of DFT.

space-group type	Fm-3m (225)
density of states at the Fermi level	7.44	states/eV/cell

Cell and atoms, written as POSCAR:
```
Ca2TiMn
1.0
0.000 3.583 3.583
3.583 0.000 3.583
3.583 3.583 0.000
Ca Ti Mn
2 1 1
Cartesian
1.792 1.792 1.792
5.375 5.375 5.375
0.000 0.000 0.000
3.583 3.583 3.583
```

=====

Which of them is least stable? Easy: two.

=====

--- one ---
Computed, not measured: a relaxed CaMn2Tl crystal at the PBE level of DFT.

space-group type	Pmmm (47)
density of states at the Fermi level	5.12	states/eV/cell

Cell and atoms, written as POSCAR:
```
CaMn2Tl
1.0
3.404 0.000 0.000
0.000 3.983 0.000
0.000 0.000 6.628
Ca Mn Tl
1 2 1
Cartesian
0.000 0.000 0.000
1.702 1.991 1.908
1.702 1.991 4.720
0.000 0.000 3.314
```

=====

--- two ---
Computed, not measured: a relaxed CaMn2Tl crystal at the PBE level of DFT.

space-group type	P4mm (99)
density of states at the Fermi level	4.29	states/eV/cell

Cell and atoms, written as POSCAR:
```
CaMn2Tl
1.0
3.302 0.000 0.000
0.000 3.302 0.000
0.000 0.000 7.361
Ca Mn Tl
1 2 1
Cartesian
0.000 0.000 0.000
0.000 0.000 4.326
1.651 1.651 5.256
1.651 1.651 2.441
```

=====

--- three ---
Computed, not measured: a relaxed CaMn2Tl crystal at the PBE level of DFT.

space-group type	I-42d (122)
density of states at the Fermi level	6.42	states/eV/cell

Cell and atoms, written as POSCAR:
```
CaMn2Tl
1.0
-4.032 4.032 3.022
4.032 -4.032 3.022
4.032 4.032 -3.022
Ca Mn Tl
2 4 2
Cartesian
0.000 0.000 0.000
0.000 4.032 1.511
2.016 2.289 -0.755
5.775 2.016 0.755
2.016 1.743 2.266
-1.743 2.016 3.777
4.032 0.000 1.511
0.000 0.000 3.022
```

=====

--- four ---
Computed, not measured: a relaxed CaMn2Tl crystal at the PBE level of DFT.

space-group type	P2/m (10)
density of states at the Fermi level	3.99	states/eV/cell

Cell and atoms, written as POSCAR:
```
CaMn2Tl
1.0
3.271 0.000 0.000
0.000 4.786 0.000
-1.078 0.000 5.788
Ca Mn Tl
1 2 1
Cartesian
0.000 0.000 0.000
0.336 2.393 4.169
1.857 2.393 1.619
1.096 0.000 2.894
```

=====

Which of them is least stable? Easy: three.

=====

--- one ---
Computed, not measured: a relaxed CaMn3Tl crystal at the PBE level of DFT.

space-group type	Pm-3m (221)
density of states at the Fermi level	2.87	states/eV/cell

Cell and atoms, written as POSCAR:
```
CaMn3Tl
1.0
5.192 0.000 0.000
0.000 5.192 0.000
0.000 0.000 5.192
Ca Mn Tl
1 3 1
Cartesian
0.000 0.000 0.000
0.000 0.000 2.596
0.000 2.596 0.000
2.596 0.000 0.000
2.596 2.596 2.596
```

=====

--- two ---
Computed, not measured: a relaxed CaMn3Tl crystal at the PBE level of DFT.

space-group type	Pm-3m (221)
density of states at the Fermi level	1.04	states/eV/cell

Cell and atoms, written as POSCAR:
```
CaMn3Tl
1.0
5.146 0.000 0.000
0.000 5.146 0.000
0.000 0.000 5.146
Ca Mn Tl
1 3 1
Cartesian
0.000 0.000 0.000
0.000 2.573 2.573
2.573 0.000 2.573
2.573 2.573 0.000
2.573 2.573 2.573
```

=====

Which of them is least stable? Easy: one.

=====

--- one ---
Computed, not measured: a relaxed CaMn2V crystal at the PBE level of DFT.

space-group type	I4_1/amd (141)
density of states at the Fermi level	8.17	states/eV/cell

Cell and atoms, written as POSCAR:
```
CaMn2V
1.0
-2.335 2.335 7.976
2.335 -2.335 7.976
2.335 2.335 -7.976
Ca Mn V
2 4 2
Cartesian
2.335 1.168 1.994
0.000 1.168 5.982
0.000 0.000 0.000
1.168 1.168 -3.988
1.168 -1.168 3.988
0.000 2.335 0.000
2.335 -1.168 5.982
0.000 3.503 1.994
```

=====

--- two ---
Computed, not measured: a relaxed CaMn2V crystal at the PBE level of DFT.

space-group type	Fm-3m (225)
density of states at the Fermi level	3.31	states/eV/cell

Cell and atoms, written as POSCAR:
```
CaMn2V
1.0
0.000 3.279 3.279
3.279 0.000 3.279
3.279 3.279 0.000
Ca Mn V
1 2 1
Cartesian
0.000 0.000 0.000
1.640 1.640 1.640
4.919 4.919 4.919
3.279 3.279 3.279
```

=====

Which of them is least stable? Easy: one.

=====

--- one ---
Computed, not measured: a relaxed CaMnW2 crystal at the PBE level of DFT.

space-group type	P4/mmm (123)
density of states at the Fermi level	4.43	states/eV/cell

Cell and atoms, written as POSCAR:
```
CaMnW2
1.0
3.855 0.000 0.000
0.000 3.855 0.000
0.000 0.000 4.859
Ca Mn W
1 1 2
Cartesian
0.000 0.000 0.000
1.927 1.927 0.000
0.000 1.927 2.429
1.927 0.000 2.429
```

=====

--- two ---
Computed, not measured: a relaxed CaMnW2 crystal at the PBE level of DFT.

space-group type	Cmm2 (35)
density of states at the Fermi level	4.19	states/eV/cell

Cell and atoms, written as POSCAR:
```
CaMnW2
1.0
1.641 -2.282 0.000
1.641 2.282 0.000
0.000 0.000 9.499
Ca Mn W
1 1 2
Cartesian
0.000 0.000 0.000
1.641 0.000 6.847
0.000 0.000 4.851
1.641 0.000 2.680
```

=====

Which of them is least stable? Easy: one.

=====

--- one ---
Computed, not measured: a relaxed CaMnW2 crystal at the PBE level of DFT.

space-group type	Imm2 (44)
density of states at the Fermi level	3.20	states/eV/cell

Cell and atoms, written as POSCAR:
```
CaMnW2
1.0
-1.516 2.446 4.593
1.516 -2.446 4.593
1.516 2.446 -4.593
Ca Mn W
1 1 2
Cartesian
0.000 0.000 0.000
0.000 2.446 2.191
1.516 0.000 2.593
0.000 0.000 4.929
```

=====

--- two ---
Computed, not measured: a relaxed CaMnW2 crystal at the PBE level of DFT.

space-group type	P4/mmm (123)
density of states at the Fermi level	4.11	states/eV/cell

Cell and atoms, written as POSCAR:
```
CaMnW2
1.0
2.885 0.000 0.000
0.000 2.885 0.000
0.000 0.000 8.479
Ca Mn W
1 1 2
Cartesian
0.000 0.000 0.000
0.000 0.000 4.240
1.442 1.442 2.674
1.442 1.442 5.806
```

=====

--- three ---
Computed, not measured: a relaxed CaMnW2 crystal at the PBE level of DFT.

space-group type	I4/mmm (139)
density of states at the Fermi level	4.77	states/eV/cell

Cell and atoms, written as POSCAR:
```
CaMnW2
1.0
-1.937 1.937 4.757
1.937 -1.937 4.757
1.937 1.937 -4.757
Ca Mn W
1 1 2
Cartesian
0.000 0.000 0.000
0.000 0.000 4.757
1.937 0.000 2.379
0.000 1.937 2.379
```

=====

--- four ---
Computed, not measured: a relaxed CaMnW2 crystal at the PBE level of DFT.

space-group type	I-42d (122)
density of states at the Fermi level	9.81	states/eV/cell

Cell and atoms, written as POSCAR:
```
CaMnW2
1.0
-2.447 2.447 8.363
2.447 -2.447 8.363
2.447 2.447 -8.363
Ca Mn W
2 2 4
Cartesian
0.000 0.000 0.000
0.000 2.447 4.182
2.447 0.000 4.182
0.000 0.000 8.363
1.224 2.397 -2.091
2.498 1.224 2.091
1.224 0.050 6.273
-0.050 1.224 10.454
```

=====

Which of them is least stable? Easy: four.

=====

--- one ---
Computed, not measured: a relaxed CaMnW2 crystal at the PBE level of DFT.

space-group type	R-3m (166)
density of states at the Fermi level	5.34	states/eV/cell

Cell and atoms, written as POSCAR:
```
CaMnW2
1.0
1.464 0.845 9.330
-1.464 0.845 9.330
0.000 -1.690 9.330
Ca Mn W
1 1 2
Cartesian
0.000 0.000 0.000
0.000 0.000 13.996
0.000 0.000 6.610
0.000 0.000 21.381
```

=====

--- two ---
Computed, not measured: a relaxed CaMnW2 crystal at the PBE level of DFT.

space-group type	P4/mmm (123)
density of states at the Fermi level	4.58	states/eV/cell

Cell and atoms, written as POSCAR:
```
CaMnW2
1.0
4.959 0.000 0.000
0.000 4.959 0.000
0.000 0.000 2.781
Ca Mn W
1 1 2
Cartesian
0.000 0.000 0.000
2.480 2.480 0.000
0.000 2.480 1.390
2.480 0.000 1.390
```

=====

Which of them is least stable? Easy: two.

=====

--- one ---
Computed, not measured: a relaxed CaMnW2 crystal at the PBE level of DFT.

space-group type	P2/m (10)
density of states at the Fermi level	4.66	states/eV/cell

Cell and atoms, written as POSCAR:
```
CaMnW2
1.0
2.729 0.000 0.000
0.000 4.787 0.000
-1.001 0.000 5.258
Ca Mn W
1 1 2
Cartesian
0.000 0.000 0.000
0.864 0.000 2.629
-0.008 2.393 3.878
1.736 2.393 1.380
```

=====

--- two ---
Computed, not measured: a relaxed CaMnW2 crystal at the PBE level of DFT.

space-group type	Cmmm (65)
density of states at the Fermi level	4.78	states/eV/cell

Cell and atoms, written as POSCAR:
```
CaMnW2
1.0
1.650 -2.218 0.000
1.650 2.218 0.000
0.000 0.000 9.307
Ca Mn W
1 1 2
Cartesian
0.000 0.000 0.000
0.000 0.000 4.654
1.650 0.000 2.710
1.650 0.000 6.597
```

=====

Which of them is least stable? Easy: one.

=====

--- one ---
Computed, not measured: a relaxed CaMnW2 crystal at the PBE level of DFT.

space-group type	Pmmm (47)
density of states at the Fermi level	4.52	states/eV/cell

Cell and atoms, written as POSCAR:
```
CaMnW2
1.0
2.682 0.000 0.000
0.000 4.847 0.000
0.000 0.000 5.451
Ca Mn W
1 1 2
Cartesian
0.000 0.000 0.000
0.000 0.000 2.726
1.341 2.423 1.410
1.341 2.423 4.041
```

=====

--- two ---
Computed, not measured: a relaxed CaMnW2 crystal at the PBE level of DFT.

space-group type	Cmmm (65)
density of states at the Fermi level	4.72	states/eV/cell

Cell and atoms, written as POSCAR:
```
CaMnW2
1.0
2.703 -4.840 0.000
2.703 4.840 0.000
0.000 0.000 2.694
Ca Mn W
1 1 2
Cartesian
0.000 0.000 0.000
2.703 0.000 0.000
1.351 2.420 1.347
1.351 -2.420 1.347
```

=====

Which of them is least stable? Easy: one.